(1)
# CuAg (PBE, optimized geometry)
# Volume ... 239 Å³/cell
# Calculated formation energy ... 0.103 eV per atom
data_CuAg
_cell_length_a 3.829
_cell_length_b 3.933
_cell_length_c 15.876
_cell_angle_alpha 90.00
_cell_angle_beta 90.00
_cell_angle_gamma 90.00
_symmetry_space_group_name_H-M 'I m m a'
_symmetry_Int_Tables_number 74
_symmetry_space_group_name_Hall '-I 2b 2'
loop_
_atom_site_label
_atom_site_fract_x
_atom_site_fract_y
_atom_site_fract_z
Cu1 0.000 0.250 0.063
Cu2 0.000 0.250 0.812
Ag1 0.000 0.250 0.313
Ag2 0.000 0.250 0.562

=====

(2)
# CuAg (PBE, optimized geometry)
# Volume ... 297 Å³/cell
# Calculated formation energy ... 0.075 eV per atom
data_CuAg
_cell_length_a 9.478
_cell_length_b 2.848
_cell_length_c 11.093
_cell_angle_alpha 90.00
_cell_angle_beta 96.69
_cell_angle_gamma 90.00
_symmetry_space_group_name_H-M 'C 1 m 1'
_symmetry_Int_Tables_number 8
loop_
_symmetry_equiv_pos_as_xyz
'x,y,z'
'x,-y,z'
'x+1/2,y+1/2,z'
'x+1/2,-y+1/2,z'
loop_
_atom_site_label
_atom_site_fract_x
_atom_site_fract_y
_atom_site_fract_z
Cu1 0.000 0.000 0.000
Cu2 0.054 0.500 0.462
Cu3 0.126 0.500 0.168
Cu4 0.215 0.000 0.352
Cu5 0.315 0.000 0.087
Ag1 0.129 0.000 0.667
Ag2 0.202 0.500 0.898
Ag3 0.341 0.500 0.546
Ag4 0.416 0.000 0.785
Ag5 0.428 0.500 0.275

=====

(3)
# Cu2Ag7 (PBE, optimized geometry)
# Volume ... 150 Å³/cell
# Excess energy over the best structure of this formula in the dataset ... 34 meV/atom
# Calculated formation energy ... 0.060 eV per atom
data_Cu2Ag7
_cell_length_a 2.8801
_cell_length_b 2.8801
_cell_length_c 20.8603
_cell_angle_alpha 90.00
_cell_angle_beta 90.00
_cell_angle_gamma 120.00
_symmetry_space_group_name_H-M 'P -3 m 1'
_symmetry_Int_Tables_number 164
_symmetry_space_group_name_Hall '-P 3 2"'
loop_
_atom_site_label
_atom_site_fract_x
_atom_site_fract_y
_atom_site_fract_z
Cu1 0.3333 0.6667 0.2219
Ag1 0.0000 0.0000 0.0000
Ag2 0.0000 0.0000 0.3255
Ag3 0.3333 0.6667 0.5582
Ag4 0.3333 0.6667 0.8821

=====

(4)
# CuAg (PBE, optimized geometry)
# Volume ... 296 Å³/cell
# Calculated formation energy ... 0.089 eV per atom
data_CuAg
_cell_length_a 14.545
_cell_length_b 2.790
_cell_length_c 7.554
_cell_angle_alpha 90.00
_cell_angle_beta 105.19
_cell_angle_gamma 90.00
_symmetry_space_group_name_H-M 'C 1 m 1'
_symmetry_Int_Tables_number 8
loop_
_symmetry_equiv_pos_as_xyz
'x,y,z'
'x,-y,z'
'x+1/2,y+1/2,z'
'x+1/2,-y+1/2,z'
loop_
_atom_site_label
_atom_site_fract_x
_atom_site_fract_y
_atom_site_fract_z
Cu1 0.000 0.000 0.000
Cu2 0.003 0.000 0.494
Cu3 0.089 0.500 0.301
Cu4 0.093 0.500 0.779
Cu5 0.180 0.000 0.585
Ag1 0.184 0.000 0.087
Ag2 0.287 0.500 0.405
Ag3 0.289 0.500 0.874
Ag4 0.399 0.000 0.196
Ag5 0.408 0.000 0.698

=====

(5)
# Cu5Ag3 (PBE, optimized geometry)
# Volume ... 226 Å³/cell
# Excess energy over the best structure of this formula in the dataset ... 44 meV/atom
# Calculated formation energy ... 0.091 eV per atom
data_Cu5Ag3
_cell_length_a 2.741
_cell_length_b 7.464
_cell_length_c 11.034
_cell_angle_alpha 90.00
_cell_angle_beta 90.00
_cell_angle_gamma 90.00
_symmetry_space_group_name_H-M 'A m m 2'
_symmetry_Int_Tables_number 38
loop_
_symmetry_equiv_pos_as_xyz
'x,y,z'
'-x,-y,z'
'-x,y,z'
'x,-y,z'
'x,y+1/2,z+1/2'
'-x,-y+1/2,z+1/2'
'-x,y+1/2,z+1/2'
'x,-y+1/2,z+1/2'
loop_
_atom_site_label
_atom_site_fract_x
_atom_site_fract_y
_atom_site_fract_z
Cu1 0.000 0.000 0.000
Cu2 0.000 0.000 0.230
Cu3 0.000 0.000 0.506
Cu4 0.500 0.237 0.116
Ag1 0.000 0.000 0.740
Ag2 0.500 0.233 0.373

=====

(6)
# Cu4Ag5 (PBE, optimized geometry)
# Volume ... 275 Å³/cell
# Excess energy over the best structure of this formula in the dataset ... 43 meV/atom
# Calculated formation energy ... 0.081 eV per atom
data_Cu4Ag5
_cell_length_a 14.101
_cell_length_b 2.867
_cell_length_c 7.887
_cell_angle_alpha 90.00
_cell_angle_beta 120.43
_cell_angle_gamma 90.00
_symmetry_space_group_name_H-M 'C 1 m 1'
_symmetry_Int_Tables_number 8
loop_
_symmetry_equiv_pos_as_xyz
'x,y,z'
'x,-y,z'
'x+1/2,y+1/2,z'
'x+1/2,-y+1/2,z'
loop_
_atom_site_label
_atom_site_fract_x
_atom_site_fract_y
_atom_site_fract_z
Cu1 0.000 0.000 0.000
Cu2 0.045 0.500 0.306
Cu3 0.299 0.500 0.685
Cu4 0.449 0.000 0.692
Ag1 0.119 0.000 0.647
Ag2 0.161 0.500 0.999
Ag3 0.217 0.000 0.356
Ag4 0.338 0.000 0.000
Ag5 0.394 0.500 0.358

=====

- The lowest calculated formation energy belongs to which entry?
  Cu2Ag7

=====

Please write out number 5 again, unchanged.
# Cu5Ag3 (PBE, optimized geometry)
# Volume ... 226 Å³/cell
# Excess energy over the best structure of this formula in the dataset ... 44 meV/atom
# Calculated formation energy ... 0.091 eV per atom
data_Cu5Ag3
_cell_length_a 2.741
_cell_length_b 7.464
_cell_length_c 11.034
_cell_angle_alpha 90.00
_cell_angle_beta 90.00
_cell_angle_gamma 90.00
_symmetry_space_group_name_H-M 'A m m 2'
_symmetry_Int_Tables_number 38
loop_
_symmetry_equiv_pos_as_xyz
'x,y,z'
'-x,-y,z'
'-x,y,z'
'x,-y,z'
'x,y+1/2,z+1/2'
'-x,-y+1/2,z+1/2'
'-x,y+1/2,z+1/2'
'x,-y+1/2,z+1/2'
loop_
_atom_site_label
_atom_site_fract_x
_atom_site_fract_y
_atom_site_fract_z
Cu1 0.000 0.000 0.000
Cu2 0.000 0.000 0.230
Cu3 0.000 0.000 0.506
Cu4 0.500 0.237 0.116
Ag1 0.000 0.000 0.740
Ag2 0.500 0.233 0.373

=====

- Number 2 is which compound?
  CuAg